{"formula": "KTeClO2", "functional": "GGA-PBE", "state": "relaxed", "lattice": [[7.009, 0.000, 0.000], [0.000, 4.211, 0.000], [-0.759, 0.000, 7.953]], "species": ["K", "K", "Te", "Te", "Cl", "Cl", "O", "O", "O", "O"], "frac_coords": [[0.222, 0.250, 0.411], [0.778, 0.750, 0.589], [0.154, 0.250, 0.906], [0.846, 0.750, 0.094], [0.498, 0.750, 0.258], [0.502, 0.250, 0.742], [0.022, 0.250, 0.697], [0.076, 0.750, 0.946], [0.924, 0.250, 0.054], [0.978, 0.750, 0.303]], "n_ef_per_ev_fu": 0.00, "formation_energy_uncorrected_mev_per_atom": -1331, "total_energy_ev_per_cell": -45.31, "total_magnetization_mub_per_cell": 0.0}